Record 1
MnCd2Ag: relaxed, GGA-PBE.

Unit cell a=4.9142 b=4.9142 c=4.9142 alpha=126.08 beta=126.08 gamma=79.76
Closest atoms and distances in Å follow each position.
Atoms (fractional coordinates):
1 Mn 0.0000 0.0000 0.0000  8 Cd 2.92-3.15, 4 Ag 2.92
2 Cd 0.5000 0.5000 0.0000  4 Cd 2.92, 4 Ag 2.92, 4 Mn 3.15
3 Cd 0.7500 0.2500 0.5000  4 Cd 2.92, 4 Mn 2.92, 4 Ag 3.15
4 Ag 0.2500 0.7500 0.5000  8 Cd 2.92-3.15, 4 Mn 2.92

Results
The value obtained for the formation energy is 0.15 eV/atom. Its space group is No. 119.

***

Record 2
BaH6Pt: relaxed, GGA-PBE.

Unit cell a=5.1377 b=5.1377 c=5.1377 alpha=59.01 beta=59.01 gamma=59.01
Closest atoms and distances in Å follow each position.
Atoms (fractional coordinates):
1 Ba 0.0000 0.0000 0.0000  12 H 2.80
2 H 0.1145 0.5845 0.5845  1 Pt 1.65
3 H 0.4155 0.4155 0.8855  1 Pt 1.65
4 H 0.4155 0.8855 0.4155  1 Pt 1.65
5 H 0.5845 0.1145 0.5845  1 Pt 1.65
6 H 0.5845 0.5845 0.1145  1 Pt 1.65
7 H 0.8855 0.4155 0.4155  1 Pt 1.65
8 Pt 0.5000 0.5000 0.5000  6 H 1.65

Results
The calculation puts the total energy at -31.87 eV per cell. Its space group is No. 166.

***

Record 3
La2Sb: relaxed, GGA-PBE.

Unit cell a=9.6965 b=9.6965 c=9.6965 alpha=152.29 beta=152.29 gamma=39.59
Closest atoms and distances in Å follow each position.
Atoms (fractional coordinates):
1 La 0.0000 0.5000 0.5000  4 La 3.28, 4 Sb 3.42
2 La 0.1793 0.1793 0.0000  5 Sb 3.34-3.37
3 La 0.5000 0.0000 0.5000  4 La 3.28, 4 Sb 3.42
4 La 0.8207 0.8207 0.0000  5 Sb 3.34-3.37
5 Sb 0.3625 0.3625 0.0000  9 La 3.34-3.42
6 Sb 0.6375 0.6375 0.0000  9 La 3.34-3.42

Results
The calculation puts the total energy at -33.43 eV per cell. Its space group is No. 139.